Entry 1:
DFT (PBE-GGA) results for an optimized crystal structure of CsGe3Au2.

The space group is P2_1/m (No. 11) and the conventional cell measures 6.6801, 7.1185 and 6.7781 Å, with angles of 90.00, 101.95 and 90.00 degrees. The asymmetric unit holds Cs at (0.2044, 0.2500, 0.2890), Ge at (0.0177, 0.7500, 0.2620), Ge at (0.2800, 0.7500, 0.5898), Ge at (0.3394, 0.7500, 0.0668) and Au at (0.3097, 0.0432, 0.8200).

As for the relative energy among the computed polymorphs: 35 meV per atom. As for the total energy: -3.5732 eV/atom. As for the density of states at the Fermi level: 3.6 states/eV/f.u. For the formation energy, the calculation gives -30 meV per atom. The spin magnetization is 0.00 μB/f.u. The calculation puts the calculated volume at 26.28 A^3/atom.

Entry 2:
DFT (PBE-GGA) results for an optimized crystal structure of GaSb2Pt.

The space group is I-42d (No. 122) and the conventional cell measures 5.9368, 5.9368 and 13.0444 Å, with angles of 90.00, 90.00 and 90.00 degrees. The asymmetric unit holds Ga at (0.0000, 0.0000, 0.0000), Sb at (0.2293, 0.2500, 0.6250) and Pt at (0.0000, 0.0000, 0.5000).

As for the total energy: -4.4343 eV/atom. As for the density of states at the Fermi level: 2.7 states/eV/f.u. The spin magnetization is 0.00 μB/f.u. The calculation puts the calculated volume at 28.73 A^3/atom.

Entry 3:
DFT (PBE-GGA) results for an optimized crystal structure of La3Nd5Ho.

The space group is C2/m (No. 12) and the conventional cell measures 12.1642, 8.6852 and 13.2617 Å, with angles of 90.00, 104.72 and 90.00 degrees. The asymmetric unit holds La at (0.0000, 0.0000, 0.0000), La at (0.0000, 0.0000, 0.5000), La at (0.0664, 0.5000, 0.2103), La at (0.2263, 0.5000, 0.4529), Nd at (0.0000, 0.3154, 0.0000), Nd at (0.0746, 0.5000, 0.6180), Nd at (0.1567, 0.1894, 0.7784), Nd at (0.2343, 0.5000, 0.9569) and Ho at (0.1268, 0.0000, 0.2660).

As for the total energy: -4.4117 eV/atom. As for the density of states at the Fermi level: 14.9 states/eV/f.u. For the formation energy, the calculation gives 388 meV per atom. The spin magnetization is 0.00 μB/f.u. The calculation puts the calculated volume at 37.64 A^3/atom.

Entry 4:
DFT (PBE-GGA) results for an optimized crystal structure of MgSc2MnC.

The space group is P4/mmm (No. 123) and the conventional cell measures 4.6419, 4.6419 and 3.7985 Å, with angles of 90.00, 90.00 and 90.00 degrees. The asymmetric unit holds Mg at (0.0000, 0.0000, 0.0000), Sc at (0.0000, 0.5000, 0.5000), Mn at (0.5000, 0.5000, 0.0000) and C at (0.5000, 0.5000, 0.5000).

As for the total energy: -6.7734 eV/atom. As for the density of states at the Fermi level: 4.2 states/eV/f.u. For the formation energy, the calculation gives -243 meV per atom. The spin magnetization is 0.86 μB/f.u. The calculation puts the calculated volume at 16.37 A^3/atom.

Entry 5:
DFT (PBE-GGA) results for an optimized crystal structure of CuSnSbPd2.

The space group is P4/mmm (No. 123) and the conventional cell measures 4.7945, 4.7945 and 4.6751 Å, with angles of 90.00, 90.00 and 90.00 degrees. The asymmetric unit holds Cu at (0.0000, 0.0000, 0.0000), Sn at (0.0000, 0.0000, 0.5000), Sb at (0.5000, 0.5000, 0.5000) and Pd at (0.0000, 0.5000, 0.0000).

As for the total energy: -4.2143 eV/atom. As for the density of states at the Fermi level: 2.4 states/eV/f.u. The spin magnetization is 0.00 μB/f.u. The calculation puts the calculated volume at 21.49 A^3/atom.

Entry 6:
DFT (PBE-GGA) results for an optimized crystal structure of AcLaNi.

The space group is F-43m (No. 216) and the conventional cell measures 7.1801, 7.1801 and 7.1801 Å, with angles of 90.00, 90.00 and 90.00 degrees. The asymmetric unit holds Ac at (0.0000, 0.0000, 0.0000), La at (0.0000, 0.0000, 0.5000) and Ni at (0.2500, 0.2500, 0.2500).

As for the relative energy among the computed polymorphs: 194 meV per atom. As for the total energy: -4.9533 eV/atom. As for the density of states at the Fermi level: 6.2 states/eV/f.u. For the formation energy, the calculation gives -14 meV per atom. The spin magnetization is 0.00 μB/f.u. The calculation puts the calculated volume at 30.85 A^3/atom.

Entry 7:
DFT (PBE-GGA) results for an optimized crystal structure of Dy7Sc2.

The space group is P-62m (No. 189) and the conventional cell measures 9.5012, 9.5012 and 3.4514 Å, with angles of 90.00, 90.00 and 120.00 degrees. The asymmetric unit holds Dy at (0.0000, 0.0000, 0.0000), Dy at (0.0000, 0.3684, 0.0000), Dy at (0.0000, 0.6932, 0.5000) and Sc at (0.3333, 0.6667, 0.5000).

As for the relative energy among the computed polymorphs: 8 meV per atom. As for the total energy: -4.9366 eV/atom. As for the density of states at the Fermi level: 16.3 states/eV/f.u. For the formation energy, the calculation gives 50 meV per atom. The spin magnetization is 0.00 μB/f.u. The calculation puts the calculated volume at 29.98 A^3/atom.

Entry 8:
DFT (PBE-GGA) results for an optimized crystal structure of CdSbAs2.

The space group is Immm (No. 71) and the conventional cell measures 3.7757, 4.7176 and 10.3511 Å, with angles of 90.00, 90.00 and 90.00 degrees. The asymmetric unit holds Cd at (0.0000, 0.0000, 0.0000), Sb at (0.0000, 0.0000, 0.5000) and As at (0.0000, 0.5000, 0.2184).

As for the relative energy among the computed polymorphs: 249 meV per atom. As for the total energy: -3.2896 eV/atom. As for the density of states at the Fermi level: 1.8 states/eV/f.u. The spin magnetization is 0.00 μB/f.u. The calculation puts the calculated volume at 23.05 A^3/atom.

Entry 9:
DFT (PBE-GGA) results for an optimized crystal structure of Mg3Co.

The space group is R-3m (No. 166, hexagonal axes) and the conventional cell measures 3.0095, 3.0095 and 28.5857 Å, with angles of 90.00, 90.00 and 120.00 degrees. The asymmetric unit holds Mg at (0.0000, 0.0000, 0.0000), Mg at (0.0000, 0.0000, 0.2361) and Co at (0.0000, 0.0000, 0.5000).

As for the total energy: -2.7782 eV/atom. As for the density of states at the Fermi level: 2.9 states/eV/f.u. For the formation energy, the calculation gives 194 meV per atom. The spin magnetization is 1.16 μB/f.u. The calculation puts the calculated volume at 18.68 A^3/atom.

Entry 10:
DFT (PBE-GGA) results for an optimized crystal structure of BaTcBi3.

The space group is Pm-3m (No. 221) and the conventional cell measures 5.5056, 5.5056 and 5.5056 Å, with angles of 90.00, 90.00 and 90.00 degrees. The asymmetric unit holds Ba at (0.0000, 0.0000, 0.0000), Tc at (0.5000, 0.5000, 0.5000) and Bi at (0.0000, 0.5000, 0.5000).

As for the relative energy among the computed polymorphs: 0 meV per atom. As for the total energy: -4.6967 eV/atom. As for the density of states at the Fermi level: 6.0 states/eV/f.u. For the formation energy, the calculation gives 90 meV per atom. The spin magnetization is 0.95 μB/f.u. The calculation puts the calculated volume at 33.38 A^3/atom.

Entry 11:
DFT (PBE-GGA) results for an optimized crystal structure of Zr2BeTe.

The space group is P4/mmm (No. 123) and the conventional cell measures 3.5335, 3.5335 and 6.3473 Å, with angles of 90.00, 90.00 and 90.00 degrees. The asymmetric unit holds Zr at (0.0000, 0.0000, 0.2313), Be at (0.5000, 0.5000, 0.0000) and Te at (0.5000, 0.5000, 0.5000).

As for the relative energy among the computed polymorphs: 239 meV per atom. As for the total energy: -6.1731 eV/atom. As for the density of states at the Fermi level: 3.0 states/eV/f.u. The spin magnetization is 0.00 μB/f.u. The calculation puts the calculated volume at 19.81 A^3/atom.

Entry 12:
DFT (PBE-GGA) results for an optimized crystal structure of RbBeB2Cl.

The space group is P4/mmm (No. 123) and the conventional cell measures 6.2122, 6.2122 and 5.9666 Å, with angles of 90.00, 90.00 and 90.00 degrees. The asymmetric unit holds Rb at (0.0000, 0.0000, 0.0000), Be at (0.5000, 0.5000, 0.5000), B at (0.0000, 0.5000, 0.0000) and Cl at (0.0000, 0.0000, 0.5000).

As for the total energy: -1.4719 eV/atom. As for the density of states at the Fermi level: 4.1 states/eV/f.u. The spin magnetization is 2.00 μB/f.u. The calculation puts the calculated volume at 46.05 A^3/atom.

> Number 3 is which compound?

La3Nd5Ho